{
  "formula": "RbCuReSe2S",
  "functional": "PBE-GGA",
  "state": "optimized geometry",
  "lattice": [[7.003, -0.221, 3.674], [-7.441, 2.578, -0.765], [-3.073, -7.263, 5.419]],
  "species": ["Cu", "Cu", "Rb", "Rb", "Re", "Re", "S", "S", "Se", "Se", "Se", "Se"],
  "frac_coords": [[0.471, 0.529, 0.250], [0.529, 0.471, 0.750], [0.745, 0.255, 0.250], [0.255, 0.745, 0.750], [0.000, 0.000, 0.000], [0.000, 0.000, 0.500], [0.057, 0.943, 0.250], [0.943, 0.057, 0.750], [0.387, 0.613, 0.040], [0.387, 0.613, 0.460], [0.613, 0.387, 0.540], [0.613, 0.387, 0.960]],
  "total_magnetization_mub_per_cell": 4.64,
  "total_energy_ev_per_atom": -5.02,
  "spacegroup": "Cmcm, No. 63"
}